[1]
First-principles (PBE-GGA) data for a relaxed MnRh2Au crystal, as listed in Alexandria via LeMat-Bulk.

Results
The value obtained for the volume is 15.152 A^3/atom. Its total moment is 3.8 μB/f.u. The calculation puts the energy relative to the elements at 49 meV per atom. The total energy is -6.738 eV per atom.

```
data_MnRh2Au
_chemical_formula_sum 'Mn2 Rh4 Au2'
_cell_length_a 2.873
_cell_length_b 4.592
_cell_length_c 9.189
_cell_angle_alpha 90.00
_cell_angle_beta 90.00
_cell_angle_gamma 90.00
_symmetry_space_group_name_H-M 'I m m m'
_symmetry_Int_Tables_number 71
_symmetry_space_group_name_Hall '-I 2 2'
loop_
_atom_site_label
_atom_site_type_symbol
_atom_site_fract_x
_atom_site_fract_y
_atom_site_fract_z
Mn1 Mn 0.000 0.000 0.000
Rh1 Rh 0.000 0.500 0.273
Au1 Au 0.000 0.000 0.500
```

[2]
First-principles (PBE-GGA) data for a relaxed MnRhAu2 crystal, as listed in Alexandria via LeMat-Bulk.

Results
The value obtained for the volume is 16.350 A^3/atom. Its total moment is 4.5 μB/f.u. The calculation puts the energy relative to the elements at 36 meV per atom. The total energy is -5.733 eV per atom.

```
data_MnRhAu2
_chemical_formula_sum 'Mn4 Rh4 Au8'
_cell_length_a 6.396
_cell_length_b 6.396
_cell_length_c 6.396
_cell_angle_alpha 90.00
_cell_angle_beta 90.00
_cell_angle_gamma 90.00
_symmetry_space_group_name_H-M 'F -4 3 m'
_symmetry_Int_Tables_number 216
_symmetry_space_group_name_Hall 'F -4 2 3'
loop_
_atom_site_label
_atom_site_type_symbol
_atom_site_fract_x
_atom_site_fract_y
_atom_site_fract_z
Mn1 Mn 0.000 0.000 0.000
Rh1 Rh 0.250 0.250 0.250
Au1 Au 0.000 0.000 0.500
Au2 Au 0.250 0.250 0.750
```

[3]
First-principles (PBE-GGA) data for a relaxed Mn2RhAu crystal, as listed in Alexandria via LeMat-Bulk.

Results
The value obtained for the volume is 15.271 A^3/atom. Its total moment is 8.2 μB/f.u. The calculation puts the energy relative to the elements at 6 meV per atom. The total energy is -7.236 eV per atom.

```
data_Mn2RhAu
_chemical_formula_sum 'Mn4 Rh2 Au2'
_cell_length_a 3.821
_cell_length_b 3.821
_cell_length_c 8.368
_cell_angle_alpha 90.00
_cell_angle_beta 90.00
_cell_angle_gamma 90.00
_symmetry_space_group_name_H-M 'I -4 m 2'
_symmetry_Int_Tables_number 119
_symmetry_space_group_name_Hall 'I -4 -2'
loop_
_atom_site_label
_atom_site_type_symbol
_atom_site_fract_x
_atom_site_fract_y
_atom_site_fract_z
Mn1 Mn 0.000 0.000 0.000
Mn2 Mn 0.000 0.500 0.250
Rh1 Rh 0.000 0.500 0.750
Au1 Au 0.000 0.000 0.500
```

[4]
First-principles (PBE-GGA) data for a relaxed Mn2RhAu crystal, as listed in Alexandria via LeMat-Bulk.

Results
The value obtained for the volume is 14.626 A^3/atom. Its total moment is 6.0 μB/f.u. The calculation puts the energy relative to the elements at 92 meV per atom. The total energy is -7.150 eV per atom.

```
data_Mn2RhAu
_chemical_formula_sum 'Mn2 Rh1 Au1'
_cell_length_a 2.850
_cell_length_b 2.850
_cell_length_c 7.203
_cell_angle_alpha 90.00
_cell_angle_beta 90.00
_cell_angle_gamma 90.00
_symmetry_space_group_name_H-M 'P 4 m m'
_symmetry_Int_Tables_number 99
loop_
_symmetry_equiv_pos_as_xyz
'x,y,z'
'-y,x,z'
'-x,-y,z'
'y,-x,z'
'-x,y,z'
'y,x,z'
'x,-y,z'
'-y,-x,z'
loop_
_atom_site_label
_atom_site_type_symbol
_atom_site_fract_x
_atom_site_fract_y
_atom_site_fract_z
Mn1 Mn 0.000 0.000 0.000
Mn2 Mn 0.500 0.500 0.230
Rh1 Rh 0.000 0.000 0.438
Au1 Au 0.500 0.500 0.734
```

[5]
First-principles (PBE-GGA) data for a relaxed Mn2RhAu crystal, as listed in Alexandria via LeMat-Bulk.

Results
The value obtained for the volume is 15.435 A^3/atom. Its total moment is 9.0 μB/f.u. The calculation puts the energy relative to the elements at -63 meV per atom. The total energy is -7.305 eV per atom.

```
data_Mn2RhAu
_chemical_formula_sum 'Mn4 Rh2 Au2'
_cell_length_a 6.111
_cell_length_b 6.120
_cell_length_c 3.301
_cell_angle_alpha 90.00
_cell_angle_beta 90.00
_cell_angle_gamma 90.00
_symmetry_space_group_name_H-M 'C m m m'
_symmetry_Int_Tables_number 65
_symmetry_space_group_name_Hall '-C 2 2'
loop_
_atom_site_label
_atom_site_type_symbol
_atom_site_fract_x
_atom_site_fract_y
_atom_site_fract_z
Mn1 Mn 0.250 0.250 0.000
Rh1 Rh 0.000 0.000 0.500
Au1 Au 0.000 0.500 0.500
```

[6]
First-principles (PBE-GGA) data for a relaxed Mn2RhAu crystal, as listed in Alexandria via LeMat-Bulk.

Results
The value obtained for the volume is 15.540 A^3/atom. Its total moment is 8.3 μB/f.u. The calculation puts the energy relative to the elements at 148 meV per atom. The total energy is -7.094 eV per atom.

```
data_Mn2RhAu
_chemical_formula_sum 'Mn8 Rh4 Au4'
_cell_length_a 6.288
_cell_length_b 6.288
_cell_length_c 6.288
_cell_angle_alpha 90.00
_cell_angle_beta 90.00
_cell_angle_gamma 90.00
_symmetry_space_group_name_H-M 'F -4 3 m'
_symmetry_Int_Tables_number 216
_symmetry_space_group_name_Hall 'F -4 2 3'
loop_
_atom_site_label
_atom_site_type_symbol
_atom_site_fract_x
_atom_site_fract_y
_atom_site_fract_z
Mn1 Mn 0.000 0.000 0.000
Mn2 Mn 0.250 0.250 0.250
Rh1 Rh 0.250 0.250 0.750
Au1 Au 0.000 0.000 0.500
```